First-principles (PBE) data for a relaxed structure of CoHRu, as listed in the Alexandria database.

Unit cell a=5.2232 b=2.6714 c=8.3906 alpha=90.00 beta=90.00 gamma=90.00
Element x y z (fractional)
1 Co 0.1225 0.2500 0.0957
2 Co 0.3775 0.7500 0.5957
3 Co 0.6225 0.2500 0.4043
4 Co 0.8775 0.7500 0.9043
5 H 0.1252 0.7500 0.2357
6 H 0.3748 0.2500 0.7357
7 H 0.6252 0.7500 0.2643
8 H 0.8748 0.2500 0.7643
9 Ru 0.1304 0.2500 0.3990
10 Ru 0.3696 0.7500 0.8990
11 Ru 0.6304 0.2500 0.1010
12 Ru 0.8696 0.7500 0.6010

Results
For the total DFT energy (no corrections), the calculation gives -6.316 eV/atom. The calculation puts the density at 9.1 g/cm³. The crystal system is orthorhombic. Its energy above the lowest structure with this stoichiometry is 0.158 eV/atom.

First-principles (PBE) data for a relaxed structure of YGaPt6, as listed in the Alexandria database.

Unit cell a=4.0736 b=4.0736 c=7.9591 alpha=90.00 beta=90.00 gamma=90.00
Element x y z (fractional)
1 Y 0.0000 0.0000 0.0000
2 Ga 0.0000 0.0000 0.5000
3 Pt 0.0000 0.5000 0.2653
4 Pt 0.0000 0.5000 0.7347
5 Pt 0.5000 0.0000 0.2653
6 Pt 0.5000 0.0000 0.7347
7 Pt 0.5000 0.5000 0.0000
8 Pt 0.5000 0.5000 0.5000

Results
As for the formation energy: -5.72 eV per formula unit. For the total DFT energy (no corrections), the calculation gives -6.432 eV/atom. The calculation puts the density at 16.7 g/cm³. The crystal system is tetragonal.

First-principles (PBE) data for a relaxed structure of Ca2Cd3Ga2, as listed in the Alexandria database.

Unit cell a=5.9011 b=5.9011 c=7.5442 alpha=112.51 beta=112.51 gamma=44.72
Element x y z (fractional)
1 Ca 0.1446 0.1446 0.2757
2 Ca 0.8554 0.8554 0.7243
3 Cd 0.3853 0.3853 0.0646
4 Cd 0.5000 0.5000 0.5000
5 Cd 0.6147 0.6147 0.9354
6 Ga 0.1498 0.1498 0.7020
7 Ga 0.8502 0.8502 0.2980

Results
As for the formation energy: -2.26 eV per formula unit. For the total DFT energy (no corrections), the calculation gives -2.152 eV/atom. The calculation puts the density at 5.5 g/cm³. The crystal system is monoclinic. Its energy above the lowest structure with this stoichiometry is 0.004 eV/atom.

First-principles (PBE) data for a relaxed structure of TcPbSeBr2, as listed in the Alexandria database.

Unit cell a=5.4968 b=5.4968 c=5.5806 alpha=90.00 beta=90.00 gamma=90.00
Element x y z (fractional)
1 Tc 0.0000 0.0000 0.0000
2 Pb 0.5000 0.5000 0.5000
3 Se 0.5000 0.5000 0.0000
4 Br 0.0000 0.5000 0.5000
5 Br 0.5000 0.0000 0.5000

Results
For the total DFT energy (no corrections), the calculation gives -3.425 eV/atom. The calculation puts the density at 5.4 g/cm³. The crystal system is tetragonal. Its energy relative to the elements, uncorrected is 0.756 eV/atom. Its energy above the lowest structure with this stoichiometry is 0.689 eV/atom.

First-principles (PBE) data for a relaxed structure of Ac3BiPtO, as listed in the Alexandria database.

Unit cell a=9.5336 b=4.4464 c=9.8779 alpha=90.00 beta=103.86 gamma=90.00
Element x y z (fractional)
1 Ac 0.0654 0.2500 0.3393
2 Ac 0.3285 0.2500 0.9788
3 Ac 0.3764 0.7500 0.6513
4 Ac 0.6236 0.2500 0.3487
5 Ac 0.6715 0.7500 0.0212
6 Ac 0.9346 0.7500 0.6607
7 Bi 0.3291 0.7500 0.2685
8 Bi 0.6709 0.2500 0.7315
9 Pt 0.1539 0.2500 0.6549
10 Pt 0.8461 0.7500 0.3451
11 O 0.4148 0.7500 0.9073
12 O 0.5852 0.2500 0.0927

Results
For the total DFT energy (no corrections), the calculation gives -6.178 eV/atom. The calculation puts the density at 9.0 g/cm³. The crystal system is monoclinic. Its energy relative to the elements, uncorrected is -1.644 eV/atom.

First-principles (PBE) data for a relaxed structure of Ti9In2Hg, as listed in the Alexandria database.

Unit cell a=4.1485 b=4.1485 c=12.4672 alpha=90.00 beta=90.00 gamma=90.00
Element x y z (fractional)
1 Ti 0.0000 0.0000 0.0000
2 Ti 0.0000 0.0000 0.3311
3 Ti 0.0000 0.0000 0.6689
4 Ti 0.0000 0.5000 0.1661
5 Ti 0.0000 0.5000 0.5000
6 Ti 0.0000 0.5000 0.8339
7 Ti 0.5000 0.0000 0.1661
8 Ti 0.5000 0.0000 0.5000
9 Ti 0.5000 0.0000 0.8339
10 In 0.5000 0.5000 0.3325
11 In 0.5000 0.5000 0.6675
12 Hg 0.5000 0.5000 0.0000

Results
As for the formation energy: -1.10 eV per formula unit. For the total DFT energy (no corrections), the calculation gives -6.495 eV/atom. The calculation puts the density at 6.7 g/cm³. The crystal system is tetragonal.

First-principles (PBE) data for a relaxed structure of LiSb5, as listed in the Alexandria database.

Unit cell a=8.1012 b=8.1012 c=4.8273 alpha=90.00 beta=90.00 gamma=150.34
Element x y z (fractional)
1 Li 0.0000 0.0000 0.0000
2 Sb 0.1643 0.8357 0.5000
3 Sb 0.3527 0.6473 0.0000
4 Sb 0.5000 0.5000 0.5000
5 Sb 0.6473 0.3527 0.0000
6 Sb 0.8357 0.1643 0.5000

Results
For the total DFT energy (no corrections), the calculation gives -3.707 eV/atom. The calculation puts the density at 6.5 g/cm³. The crystal system is orthorhombic. Its energy relative to the elements, uncorrected is 0.047 eV/atom. Its energy above the lowest structure with this stoichiometry is 0.033 eV/atom.

First-principles (PBE) data for a relaxed structure of Sr2Ca2Pd, as listed in the Alexandria database.

Unit cell a=7.8920 b=7.8920 c=6.4566 alpha=90.00 beta=90.00 gamma=90.00
Element x y z (fractional)
1 Sr 0.1661 0.3339 0.0000
2 Sr 0.3339 0.8339 0.0000
3 Sr 0.6661 0.1661 0.0000
4 Sr 0.8339 0.6661 0.0000
5 Ca 0.1706 0.6706 0.5000
6 Ca 0.3294 0.1706 0.5000
7 Ca 0.6706 0.8294 0.5000
8 Ca 0.8294 0.3294 0.5000
9 Pd 0.0000 0.0000 0.0000
10 Pd 0.5000 0.5000 0.0000

Results
As for the formation energy: -0.07 eV per formula unit. For the total DFT energy (no corrections), the calculation gives -2.526 eV/atom. The calculation puts the density at 3.0 g/cm³. The crystal system is tetragonal. Its energy above the lowest structure with this stoichiometry is 0.092 eV/atom.

First-principles (PBE) data for a relaxed structure of TaTeBr, as listed in the Alexandria database.

Unit cell a=4.7903 b=4.7903 c=4.7903 alpha=60.00 beta=60.00 gamma=60.00
Element x y z (fractional)
1 Ta 0.0000 0.0000 0.0000
2 Te 0.2500 0.2500 0.2500
3 Br 0.7500 0.7500 0.7500

Results
For the total DFT energy (no corrections), the calculation gives -5.464 eV/atom. The calculation puts the density at 8.3 g/cm³. The crystal system is cubic. Its energy relative to the elements, uncorrected is 0.092 eV/atom. Its energy above the lowest structure with this stoichiometry is 0.431 eV/atom.

First-principles (PBE) data for a relaxed structure of ZrTcHg, as listed in the Alexandria database.

Unit cell a=7.2172 b=6.9910 c=3.0459 alpha=81.81 beta=73.50 gamma=24.69
Element x y z (fractional)
1 Zr 0.0000 0.0000 0.0000
2 Tc 0.3564 0.3564 0.6436
3 Hg 0.6867 0.6867 0.3133

Results
As for the formation energy: 0.45 eV per formula unit. For the total DFT energy (no corrections), the calculation gives -6.254 eV/atom. The calculation puts the density at 11.0 g/cm³. The crystal system is orthorhombic. Its energy above the lowest structure with this stoichiometry is 0.148 eV/atom.

First-principles (PBE) data for a relaxed structure of LaIn2Ir, as listed in the Alexandria database.

Unit cell a=9.8098 b=9.8098 c=9.8098 alpha=19.99 beta=19.99 gamma=19.99
Element x y z (fractional)
1 La 0.0000 0.0000 0.0000
2 In 0.2342 0.2342 0.2342
3 In 0.7658 0.7658 0.7658
4 Ir 0.5000 0.5000 0.5000

Results
As for the formation energy: 0.02 eV per formula unit. For the total DFT energy (no corrections), the calculation gives -4.811 eV/atom. The calculation puts the density at 9.6 g/cm³. The crystal system is trigonal.

First-principles (PBE) data for a relaxed structure of HfVCr, as listed in the Alexandria database.

Unit cell a=5.2802 b=5.2802 c=5.7061 alpha=122.21 beta=122.21 gamma=46.40
Element x y z (fractional)
1 Hf 0.1698 0.1698 0.0795
2 Hf 0.8302 0.8302 0.9205
3 V 0.1478 0.1478 0.5458
4 V 0.8522 0.8522 0.4542
5 Cr 0.4801 0.4801 0.7009
6 Cr 0.5199 0.5199 0.2991

Results
As for the formation energy: 0.42 eV per formula unit. For the total DFT energy (no corrections), the calculation gives -9.424 eV/atom. The calculation puts the density at 10.0 g/cm³. The crystal system is monoclinic. Its energy above the lowest structure with this stoichiometry is 0.214 eV/atom.